(1)
! Tb2GeHPd6 (PBE, relaxed); values from VASP
&SYSTEM
  ibrav = 0, nat = 10, ntyp = 4
/
ATOMIC_SPECIES
Tb 158.93 Tb.upf
Ge 72.64 Ge.upf
H 1.01 H.upf
Pd 106.42 Pd.upf
CELL_PARAMETERS angstrom
5.689 0.000 0.000
2.843 4.941 0.000
2.843 1.598 5.994
ATOMIC_POSITIONS crystal
Tb 0.223 0.228 0.327
Tb 0.777 0.772 0.673
Ge 0.500 0.500 0.500
H 0.000 0.000 0.000
Pd 0.230 0.726 0.813
Pd 0.232 0.226 0.805
Pd 0.266 0.774 0.193
Pd 0.734 0.226 0.807
Pd 0.768 0.774 0.195
Pd 0.770 0.274 0.187
! ρ in g cm⁻³: 10.2
! Total DFT energy (no corrections) in eV per atom: -5.550

=====

(2)
! TbGeHPd2 (PBE, relaxed); values from VASP
&SYSTEM
  ibrav = 0, nat = 10, ntyp = 4
/
ATOMIC_SPECIES
Tb 158.93 Tb.upf
Ge 72.64 Ge.upf
H 1.01 H.upf
Pd 106.42 Pd.upf
CELL_PARAMETERS angstrom
1.965 -5.405 0.000
1.965 5.405 0.000
0.000 0.000 7.373
ATOMIC_POSITIONS crystal
Tb 0.054 0.946 0.750
Tb 0.946 0.054 0.250
Ge 0.229 0.771 0.250
Ge 0.771 0.229 0.750
H 0.500 0.500 0.000
H 0.500 0.500 0.500
Pd 0.343 0.657 0.555
Pd 0.343 0.657 0.945
Pd 0.657 0.343 0.055
Pd 0.657 0.343 0.445
! ρ in g cm⁻³: 9.4
! Total DFT energy (no corrections) in eV per atom: -5.353